This record from Alexandria describes ErBiRuO6 after structural relaxation. The functional is PBE.

Calculated values
density: 7.60 g/cm3
DOS(E_F): 7.7 states/eV/cell
energy relative to the elements, uncorrected: -1.6494 eV/atom
crystal system: trigonal
space group: No. 163

```
18
Lattice="5.5038 0.0000 0.0000 -2.7519 4.7664 0.0000 0.0000 0.0000 9.5463" Properties=species:S:1:pos:R:3 pbc="T T T"
Er 0.0000 3.1776 2.3866
Er 2.7519 1.5888 7.1597
Bi 0.0000 0.0000 0.0000
Bi 0.0000 0.0000 4.7731
Ru 2.7519 1.5888 2.3866
Ru 0.0000 3.1776 7.1597
O 1.9213 2.9789 1.2853
O 4.3710 1.6131 1.2853
O -0.7885 4.5920 6.0585
O -1.6191 3.1533 8.2610
O 1.1328 1.6131 3.4878
O 3.5825 2.9789 3.4878
O 0.7885 4.5920 8.2610
O 3.5404 0.1745 3.4878
O -0.8306 1.7876 6.0585
O 1.9634 0.1745 1.2853
O 1.6191 3.1533 6.0585
O 0.8306 1.7876 8.2610
```